A plane-wave DFT calculation with PBE was carried out for crystalline Rb8As2F at its relaxed geometry.

Cell lengths 5.8718, 7.8724, 12.4154 Å; angles 114.53, 103.68, 90.00 degrees
Last column: nearest neighbours and their distance in Å.
Positions (direct):
1 Rb 0.4128 0.6381 0.8255  1 F 2.72
2 Rb 0.6809 0.9344 0.3617  3 As 3.57-3.73, 1 Rb 3.66
3 Rb 0.7749 0.6721 0.5498  1 As 3.48, 3 Rb 3.66-3.82
4 Rb 0.9588 0.2011 0.9176  1 As 3.60, 2 F 3.67
5 Rb 0.2251 0.3279 0.4502  1 As 3.48, 3 Rb 3.66-3.82
6 Rb 0.3191 0.0656 0.6383  3 As 3.57-3.73, 1 Rb 3.66
7 Rb 0.5872 0.3619 0.1745  1 F 2.72
8 Rb 0.0412 0.7989 0.0824  1 As 3.60, 2 F 3.67
9 As 0.8349 0.3411 0.6699  7 Rb 3.48-3.73
10 As 0.1651 0.6589 0.3301  7 Rb 3.48-3.73
11 F 0.5000 0.0000 0.0000  2 Rb 2.72

Raw formation energy, meV/atom: -580
Space-group type: C2/m (12)
Final energy, eV per formula unit: -25.3

=====

A plane-wave DFT calculation with PBE was carried out for crystalline TiFeOs2 at its relaxed geometry.

Cell lengths 3.0674, 4.2629, 4.2629 Å; angles 90.00, 90.00, 90.00 degrees
Last column: nearest neighbours and their distance in Å.
Positions (direct):
1 Os 0.0000 0.0000 0.5000  4 Ti 2.63, 4 Fe 2.63
2 Os 0.0000 0.5000 0.0000  4 Fe 2.63, 4 Ti 2.63
3 Fe 0.5000 0.5000 0.5000  8 Os 2.63
4 Ti 0.5000 0.0000 0.0000  8 Os 2.63

Space-group type: P4/mmm (123)
Calculated formation energy, eV/atom: -0.2059
Final energy, eV per formula unit: -39.6

=====

A plane-wave DFT calculation with PBE was carried out for crystalline Nd2Si2SnRh5 at its relaxed geometry.

Cell lengths 3.5528, 9.9874, 9.9874 Å; angles 90.00, 90.00, 90.00 degrees
Last column: nearest neighbours and their distance in Å.
Positions (direct):
1 Nd 0.0000 0.6773 0.1773  3 Si 2.86-3.02, 10 Rh 3.07-3.20
2 Nd 0.0000 0.3227 0.8227  3 Si 2.86-3.02, 10 Rh 3.07-3.20
3 Nd 0.0000 0.1773 0.3227  3 Si 2.86-3.02, 10 Rh 3.07-3.20
4 Nd 0.0000 0.8227 0.6773  3 Si 2.86-3.02, 10 Rh 3.07-3.20
5 Si 0.0000 0.1199 0.6199  6 Rh 2.44-2.45
6 Si 0.0000 0.8801 0.3801  6 Rh 2.44-2.45
7 Si 0.0000 0.6199 0.8801  6 Rh 2.44-2.45
8 Si 0.0000 0.3801 0.1199  6 Rh 2.44-2.45
9 Sn 0.0000 0.0000 0.0000  8 Rh 2.91
10 Sn 0.0000 0.5000 0.5000  8 Rh 2.91
11 Rh 0.5000 0.2205 0.0683  2 Si 2.44
12 Rh 0.5000 0.7795 0.9317  2 Si 2.44
13 Rh 0.5000 0.0683 0.7795  2 Si 2.44
14 Rh 0.5000 0.7205 0.4317  2 Si 2.44
15 Rh 0.5000 0.9317 0.2205  2 Si 2.44
16 Rh 0.5000 0.2795 0.5683  2 Si 2.44
17 Rh 0.5000 0.5683 0.7205  2 Si 2.44
18 Rh 0.5000 0.4317 0.2795  2 Si 2.44
19 Rh 0.5000 0.5000 0.0000  4 Si 2.45
20 Rh 0.5000 0.0000 0.5000  4 Si 2.45

Raw formation energy, meV/atom: -872
Space-group type: P4/mbm (127)
Final energy, eV per formula unit: -69.9

=====

A plane-wave DFT calculation with PBE was carried out for crystalline CaTbEuSbO6 at its relaxed geometry.

Cell lengths 5.9208, 5.9208, 5.9208 Å; angles 60.00, 60.00, 60.00 degrees
Last column: nearest neighbours and their distance in Å.
Positions (direct):
1 Ca 0.7500 0.7500 0.7500  12 O 2.96
2 Tb 0.5000 0.5000 0.5000  6 O 2.20
3 Eu 0.2500 0.2500 0.2500  12 O 2.96
4 Sb 0.0000 0.0000 0.0000  6 O 1.98
5 O 0.2370 0.7630 0.2370  1 Sb 1.98, 1 Tb 2.20
6 O 0.7630 0.2370 0.7630  1 Sb 1.98, 1 Tb 2.20
7 O 0.2370 0.7630 0.7630  1 Sb 1.98, 1 Tb 2.20
8 O 0.7630 0.2370 0.2370  1 Sb 1.98, 1 Tb 2.20
9 O 0.2370 0.2370 0.7630  1 Sb 1.98, 1 Tb 2.20
10 O 0.7630 0.7630 0.2370  1 Sb 1.98, 1 Tb 2.20

Raw formation energy, meV/atom: -2531
Space-group type: F-43m (216)
Final energy, eV per formula unit: -76.1

=====

no.,density of states at the Fermi level (states/eV per atom),calculated volume (Å³ per cell)
1,0.253,504.14
2,0.632,55.74
3,0.384,354.39
4,1.506,146.77